DFT (PBE) results for crystalline HoAgSO at its relaxed geometry.

a = 3.9113 Å, b = 3.9113 Å, c = 10.8243 Å
α = 79.59°, β = 79.59°, γ = 60.00°
Atoms (fractional coordinates):
Ho1 0.6229 0.6229 0.1314
Ho2 0.3771 0.3771 0.8686
Ag1 0.8058 0.8058 0.5825
Ag2 0.1942 0.1942 0.4175
S1 0.1003 0.1003 0.6990
S2 0.8997 0.8997 0.3010
O1 0.6931 0.6931 0.9207
O2 0.3069 0.3069 0.0793

Summary:
SG ... R-3m
Formation energy from raw total energies ... -1949 meV/atom
Electronic total energy ... -6.078 eV per atom
Magnetic moment ... 0.00 μB per cell

DFT (PBE) results for crystalline HoSc2AgO at its relaxed geometry.

a = 4.4300 Å, b = 4.4300 Å, c = 4.7248 Å
α = 90.00°, β = 90.00°, γ = 90.00°
Atoms (fractional coordinates):
Ho1 0.0000 0.0000 0.5001
Sc1 0.0000 0.5000 0.0001
Sc2 0.5000 0.0000 0.0001
Ag1 0.5000 0.5000 0.4996
O1 0.0000 0.0000 0.0001

Summary:
SG ... P4/mmm
N(E_F) ... 5.52 states/eV per cell
Formation energy from raw total energies ... -1293 meV/atom
Electronic total energy ... -6.303 eV per atom
Magnetic moment ... 0.00 μB per cell

DFT (PBE) results for crystalline HoAgSeO4 at its relaxed geometry.

a = 7.2173 Å, b = 6.5238 Å, c = 6.5238 Å
α = 65.64°, β = 56.42°, γ = 56.42°
Atoms (fractional coordinates):
Ho1 0.0000 0.0000 0.0000
Ho2 0.0000 0.5000 0.5000
Ag1 0.5000 0.0000 0.5000
Ag2 0.0000 0.0000 0.5000
Se1 0.5902 0.6598 0.1598
Se2 0.4098 0.3402 0.8402
O1 0.7161 0.7252 0.8426
O2 0.2839 0.6574 0.7748
O3 0.7161 0.3426 0.2252
O4 0.2839 0.2748 0.1574
O5 0.2010 0.7479 0.2479
O6 0.8032 0.7479 0.2479
O7 0.1968 0.2521 0.7521
O8 0.7990 0.2521 0.7521

Summary:
SG ... Imma
N(E_F) ... 0.00 states/eV per cell
Formation energy from raw total energies ... -1541 meV/atom
Electronic total energy ... -5.934 eV per atom
Magnetic moment ... 0.00 μB per cell

DFT (PBE) results for crystalline HoAgSeO at its relaxed geometry.

a = 3.9913 Å, b = 3.9913 Å, c = 11.1695 Å
α = 79.71°, β = 79.71°, γ = 60.00°
Atoms (fractional coordinates):
Ho1 0.6248 0.6248 0.1255
Ho2 0.3752 0.3752 0.8745
Ag1 0.8082 0.8082 0.5754
Ag2 0.1918 0.1918 0.4246
Se1 0.1000 0.1000 0.7001
Se2 0.9000 0.9000 0.2999
O1 0.6923 0.6923 0.9232
O2 0.3077 0.3077 0.0768

Summary:
SG ... R-3m
N(E_F) ... 0.00 states/eV per cell
Formation energy from raw total energies ... -1886 meV/atom
Electronic total energy ... -5.854 eV per atom
Magnetic moment ... 0.00 μB per cell

DFT (PBE) results for crystalline HoSiAgO4 at its relaxed geometry.

a = 5.7773 Å, b = 6.0655 Å, c = 6.7250 Å
α = 90.00°, β = 103.24°, γ = 90.00°
Atoms (fractional coordinates):
Ho1 0.8082 0.7500 0.4644
Ho2 0.1918 0.2500 0.5356
Si1 0.2747 0.7500 0.3490
Si2 0.7253 0.2500 0.6510
Ag1 0.4483 0.7500 0.8886
Ag2 0.5517 0.2500 0.1114
O1 0.9098 0.4596 0.6666
O2 0.0902 0.9596 0.3334
O3 0.0902 0.5404 0.3334
O4 0.9098 0.0404 0.6666
O5 0.4721 0.7500 0.2071
O6 0.5279 0.2500 0.7929
O7 0.4625 0.7500 0.5763
O8 0.5375 0.2500 0.4237

Summary:
SG ... P2_1/m
N(E_F) ... 0.00 states/eV per cell
Formation energy from raw total energies ... -2463 meV/atom
Electronic total energy ... -7.132 eV per atom
Magnetic moment ... 0.00 μB per cell

DFT (PBE) results for crystalline Ho3SiAg3O8 at its relaxed geometry.

a = 6.6365 Å, b = 6.6328 Å, c = 6.8677 Å
α = 119.05°, β = 90.00°, γ = 120.02°
Atoms (fractional coordinates):
Ho1 0.5000 0.0000 0.5000
Ho2 0.5000 0.5000 0.5000
Ho3 0.0000 0.5000 0.5000
Si1 0.0000 0.0000 0.5000
Ag1 0.0000 0.0000 0.0000
Ag2 0.0000 0.5000 0.0000
Ag3 0.5000 0.5000 0.0000
O1 0.2720 0.5440 0.3172
O2 0.7280 0.4560 0.6828
O3 0.8030 0.6061 0.3238
O4 0.1970 0.3939 0.6762
O5 0.8026 0.0193 0.3232
O6 0.1974 0.9807 0.6768
O7 0.2167 0.0193 0.3232
O8 0.7833 0.9807 0.6768

Summary:
SG ... C2/m
Formation energy from raw total energies ... -2145 meV/atom
Electronic total energy ... -6.637 eV per atom
Magnetic moment ... 0.00 μB per cell

DFT (PBE) results for crystalline Sr2HoAgO5 at its relaxed geometry.

a = 3.5059 Å, b = 7.0781 Å, c = 11.4425 Å
α = 90.00°, β = 90.00°, γ = 104.34°
Atoms (fractional coordinates):
Sr1 0.8553 0.7107 0.7937
Sr2 0.0918 0.1837 0.6808
Sr3 0.1447 0.2893 0.2937
Sr4 0.9082 0.8163 0.1808
Ho1 0.7866 0.5733 0.5222
Ho2 0.2134 0.4267 0.0222
Ag1 0.5257 0.0515 0.9474
Ag2 0.4743 0.9485 0.4474
O1 0.3766 0.7533 0.9867
O2 0.6749 0.3498 0.8945
O3 0.4862 0.9724 0.7734
O4 0.2679 0.5358 0.6503
O5 0.9381 0.8762 0.5751
O6 0.6234 0.2467 0.4867
O7 0.3251 0.6502 0.3945
O8 0.5138 0.0276 0.2734
O9 0.7321 0.4642 0.1503
O10 0.0619 0.1238 0.0751

Summary:
SG ... Cmc2_1
N(E_F) ... 2.18 states/eV per cell
Formation energy from raw total energies ... -2169 meV/atom
Electronic total energy ... -6.123 eV per atom
Magnetic moment ... 0.00 μB per cell

DFT (PBE) results for crystalline HoTc2AgO8 at its relaxed geometry.

a = 6.0232 Å, b = 6.0232 Å, c = 6.6141 Å
α = 90.00°, β = 90.00°, γ = 120.00°
Atoms (fractional coordinates):
Ho1 0.0000 0.0000 0.5000
Tc1 0.6667 0.3333 0.2048
Tc2 0.3333 0.6667 0.7952
Ag1 0.0000 0.0000 0.0000
O1 0.3333 0.6667 0.0575
O2 0.3384 0.1689 0.2914
O3 0.8311 0.1696 0.2914
O4 0.6667 0.3333 0.9425
O5 0.1689 0.8304 0.7086
O6 0.6616 0.8311 0.7086
O7 0.1696 0.3384 0.7086
O8 0.8304 0.6616 0.2914

Summary:
SG ... P-3m1
N(E_F) ... 5.41 states/eV per cell
Formation energy from raw total energies ... -1610 meV/atom
Electronic total energy ... -7.262 eV per atom
Magnetic moment ... 2.05 μB per cell